Here is an optimized crystal structure of Li3Co3SbO8 from the Alexandria database. Energies are from PBE+U.

Output
The distance to the lowest polymorph of the same formula is 0 meV per atom. The space group is P2_1/c (14).

a = 6.060 Å, b = 6.010 Å, c = 10.470 Å
α = 90.00°, β = 124.80°, γ = 90.00°
Sites, in units of the cell vectors:
Li (0.000, 0.000, 0.000)
Li (0.000, 0.500, 0.500)
Li (0.005, 0.246, 0.250)
Li (0.005, 0.254, 0.750)
Li (0.995, 0.746, 0.250)
Li (0.995, 0.754, 0.750)
Co (0.496, 0.739, 0.753)
Co (0.496, 0.761, 0.253)
Co (0.500, 0.000, 0.500)
Co (0.500, 0.500, 0.000)
Co (0.504, 0.239, 0.747)
Co (0.504, 0.261, 0.247)
Sb (0.500, 0.000, 0.000)
Sb (0.500, 0.500, 0.500)
O (0.273, 0.503, 0.266)
O (0.273, 0.997, 0.766)
O (0.274, 0.237, 0.006)
O (0.274, 0.263, 0.506)
O (0.278, 0.738, 0.508)
O (0.278, 0.762, 0.008)
O (0.286, 0.004, 0.252)
O (0.286, 0.496, 0.752)
O (0.714, 0.504, 0.248)
O (0.714, 0.996, 0.748)
O (0.722, 0.238, 0.992)
O (0.722, 0.262, 0.492)
O (0.726, 0.737, 0.494)
O (0.726, 0.763, 0.994)
O (0.727, 0.003, 0.234)
O (0.727, 0.497, 0.734)